CaCd PBE-GGA optimized geometry; calculated total energy = -1.737 eV per atom; symmetry = No. 74; D(E_F) = 2.6 states/eV/cell; formation enthalpy at 0 K = -0.28 eV/atom
1.0
-1.866 2.742 5.653
1.866 -2.742 5.653
1.866 2.742 -5.653
Ca Cd
2 2
direct
0.353 0.103 0.250
0.647 0.897 0.750
0.104 0.354 0.750
0.896 0.646 0.250